[1]
The following is a PBE calculation of an optimized crystal structure of As2WSe, from Alexandria.

Properties
The calculated volume comes out at 19.94 Å³/atom. The calculation puts the density of states at the Fermi level at 4.8 states/eV per cell. The magnetization is 0.00 μB per formula unit. The raw formation energy is 0.3207 eV/atom.

```
data_As2WSe
_chemical_formula_sum 'As4 W2 Se2'
_cell_length_a 3.3955
_cell_length_b 4.5640
_cell_length_c 10.2954
_cell_angle_alpha 90.00
_cell_angle_beta 90.00
_cell_angle_gamma 90.00
_symmetry_space_group_name_H-M 'C m m m'
_symmetry_Int_Tables_number 65
_symmetry_space_group_name_Hall '-C 2 2'
loop_
_atom_site_label
_atom_site_type_symbol
_atom_site_fract_x
_atom_site_fract_y
_atom_site_fract_z
_atom_site_occupancy
As1 As 0.0000 0.0000 0.1963 1
W1 W 0.0000 0.5000 0.0000 1
Se1 Se 0.0000 0.5000 0.5000 1
```

=====

[2]
The following is a PBE calculation of an optimized crystal structure of KNaTl2Hg, from Alexandria.

Properties
The calculated volume comes out at 34.43 Å³/atom. The calculation puts the density of states at the Fermi level at 4.1 states/eV per cell. The magnetization is 0.00 μB per formula unit. For the offset from the most stable computed form, the calculation gives 0.00 eV per formula unit. The formation energy is -12.6 kJ per mole of atoms.

```
data_KNaTl2Hg
_chemical_formula_sum 'K2 Na2 Tl4 Hg2'
_cell_length_a 4.9384
_cell_length_b 5.0441
_cell_length_c 13.8211
_cell_angle_alpha 90.00
_cell_angle_beta 90.00
_cell_angle_gamma 90.00
_symmetry_space_group_name_H-M 'I m m 2'
_symmetry_Int_Tables_number 44
_symmetry_space_group_name_Hall 'I 2 -2'
loop_
_atom_site_label
_atom_site_type_symbol
_atom_site_fract_x
_atom_site_fract_y
_atom_site_fract_z
_atom_site_occupancy
K1 K 0.0000 0.0000 0.0000 1
Na1 Na 0.0000 0.5000 0.7566 1
Tl1 Tl 0.0000 0.0000 0.6135 1
Tl2 Tl 0.0000 0.5000 0.2588 1
Hg1 Hg 0.0000 0.0000 0.3965 1
```

=====

[3]
The following is a PBE calculation of an optimized crystal structure of Rb2UPbSe6, from Alexandria.

Properties
The calculated volume comes out at 35.41 Å³/atom. The calculation puts the density of states at the Fermi level at 19.3 states/eV per cell. The magnetization is 0.00 μB per formula unit. The raw formation energy is -0.7864 eV/atom.

```
data_Rb2UPbSe6
_chemical_formula_sum 'Rb4 U2 Pb2 Se12'
_cell_length_a 7.8475
_cell_length_b 11.1003
_cell_length_c 8.1310
_cell_angle_alpha 90.00
_cell_angle_beta 90.00
_cell_angle_gamma 90.00
_symmetry_space_group_name_H-M 'P m m n'
_symmetry_Int_Tables_number 59
loop_
_symmetry_equiv_pos_as_xyz
'x,y,z'
'-x,-y,-z'
'-x+1/2,-y+1/2,z'
'x+1/2,y+1/2,-z'
'x+1/2,-y,-z'
'-x+1/2,y,z'
'-x,y+1/2,-z'
'x,-y+1/2,z'
loop_
_atom_site_label
_atom_site_type_symbol
_atom_site_fract_x
_atom_site_fract_y
_atom_site_fract_z
_atom_site_occupancy
Rb1 Rb 0.2500 0.0023 0.2501 1
U1 U 0.2500 0.7500 0.7223 1
Pb1 Pb 0.2500 0.2500 0.7804 1
Se1 Se 0.0076 0.7500 0.4923 1
Se2 Se 0.0148 0.7500 0.9582 1
Se3 Se 0.2500 0.5106 0.7033 1
```

=====

[4]
The following is a PBE calculation of an optimized crystal structure of Ac4Hg2RuSe, from Alexandria.

Properties
The calculated volume comes out at 34.60 Å³/atom. The calculation puts the density of states at the Fermi level at 6.9 states/eV per cell. The magnetization is 0.00 μB per formula unit. The raw formation energy is -0.6946 eV/atom.

```
data_Ac4Hg2RuSe
_chemical_formula_sum 'Ac4 Hg2 Ru1 Se1'
_cell_length_a 7.9961
_cell_length_b 4.3531
_cell_length_c 8.2787
_cell_angle_alpha 90.00
_cell_angle_beta 106.14
_cell_angle_gamma 90.00
_symmetry_space_group_name_H-M 'P 1 2/m 1'
_symmetry_Int_Tables_number 10
_symmetry_space_group_name_Hall '-P 2y'
loop_
_atom_site_label
_atom_site_type_symbol
_atom_site_fract_x
_atom_site_fract_y
_atom_site_fract_z
_atom_site_occupancy
Ac1 Ac 0.2156 0.0000 0.2075 1
Ac2 Ac 0.2324 0.5000 0.7854 1
Hg1 Hg 0.0000 0.0000 0.5000 1
Hg2 Hg 0.5000 0.5000 0.5000 1
Ru1 Ru 0.0000 0.5000 0.0000 1
Se1 Se 0.5000 0.0000 0.0000 1
```

=====

[5]
The following is a PBE calculation of an optimized crystal structure of U4TcMo, from Alexandria.

Properties
The calculated volume comes out at 18.50 Å³/atom. The calculation puts the density of states at the Fermi level at 21.7 states/eV per cell. The magnetization is 0.00 μB per formula unit. The formation energy is 0.7 kJ per mole of atoms.

```
data_U4TcMo
_chemical_formula_sum 'U8 Tc2 Mo2'
_cell_length_a 5.1100
_cell_length_b 13.9046
_cell_length_c 3.1251
_cell_angle_alpha 90.00
_cell_angle_beta 90.00
_cell_angle_gamma 90.00
_symmetry_space_group_name_H-M 'C m m m'
_symmetry_Int_Tables_number 65
_symmetry_space_group_name_Hall '-C 2 2'
loop_
_atom_site_label
_atom_site_type_symbol
_atom_site_fract_x
_atom_site_fract_y
_atom_site_fract_z
_atom_site_occupancy
U1 U 0.0000 0.1639 0.0000 1
U2 U 0.0000 0.3334 0.5000 1
Tc1 Tc 0.0000 0.0000 0.5000 1
Mo1 Mo 0.0000 0.5000 0.0000 1
```

=====

[6]
The following is a PBE calculation of an optimized crystal structure of PrLu2Sn, from Alexandria.

Properties
The calculated volume comes out at 29.36 Å³/atom. The calculation puts the density of states at the Fermi level at 5.4 states/eV per cell. The magnetization is 0.00 μB per formula unit. For the offset from the most stable computed form, the calculation gives 0.39 eV per formula unit. The formation energy is -27.8 kJ per mole of atoms.

```
data_PrLu2Sn
_chemical_formula_sum 'Pr1 Lu2 Sn1'
_cell_length_a 3.7314
_cell_length_b 3.7314
_cell_length_c 8.4361
_cell_angle_alpha 90.00
_cell_angle_beta 90.00
_cell_angle_gamma 90.00
_symmetry_space_group_name_H-M 'P 4/m m m'
_symmetry_Int_Tables_number 123
_symmetry_space_group_name_Hall '-P 4 2'
loop_
_atom_site_label
_atom_site_type_symbol
_atom_site_fract_x
_atom_site_fract_y
_atom_site_fract_z
_atom_site_occupancy
Pr1 Pr 0.0000 0.0000 0.0000 1
Lu1 Lu 0.5000 0.5000 0.2866 1
Sn1 Sn 0.0000 0.0000 0.5000 1
```

=====

[7]
The following is a PBE calculation of an optimized crystal structure of Rb2NaThSe4, from Alexandria.

Properties
The calculated volume comes out at 34.37 Å³/atom. The calculation puts the density of states at the Fermi level at 0.8 states/eV per cell. The magnetization is 1.01 μB per formula unit. The raw formation energy is -1.2869 eV/atom.

```
data_Rb2NaThSe4
_chemical_formula_sum 'Rb8 Na4 Th4 Se16'
_cell_length_a 8.4947
_cell_length_b 9.6895
_cell_length_c 13.3619
_cell_angle_alpha 90.00
_cell_angle_beta 90.00
_cell_angle_gamma 90.00
_symmetry_space_group_name_H-M 'I m m a'
_symmetry_Int_Tables_number 74
_symmetry_space_group_name_Hall '-I 2b 2'
loop_
_atom_site_label
_atom_site_type_symbol
_atom_site_fract_x
_atom_site_fract_y
_atom_site_fract_z
_atom_site_occupancy
Rb1 Rb 0.0000 0.0000 0.0000 1
Rb2 Rb 0.2500 0.2500 0.2500 1
Na1 Na 0.0000 0.0000 0.5000 1
Th1 Th 0.2500 0.2500 0.7500 1
Se1 Se 0.0000 0.0428 0.7547 1
Se2 Se 0.1955 0.2500 0.5285 1
```

=====

[8]
The following is a PBE calculation of an optimized crystal structure of NdNiSe2, from Alexandria.

Properties
The calculated volume comes out at 24.04 Å³/atom. The calculation puts the density of states at the Fermi level at 9.2 states/eV per cell. The magnetization is 0.00 μB per formula unit. The raw formation energy is -0.3616 eV/atom.

```
data_NdNiSe2
_chemical_formula_sum 'Nd3 Ni3 Se6'
_cell_length_a 3.6505
_cell_length_b 3.6505
_cell_length_c 24.9993
_cell_angle_alpha 90.00
_cell_angle_beta 90.00
_cell_angle_gamma 120.00
_symmetry_space_group_name_H-M 'R -3 m'
_symmetry_Int_Tables_number 166
_symmetry_space_group_name_Hall '-R 3 2"'
loop_
_atom_site_label
_atom_site_type_symbol
_atom_site_fract_x
_atom_site_fract_y
_atom_site_fract_z
_atom_site_occupancy
Nd1 Nd 0.0000 0.0000 0.0000 1
Ni1 Ni 0.0000 0.0000 0.5000 1
Se1 Se 0.0000 0.0000 0.1166 1
```

=====

[9]
The following is a PBE calculation of an optimized crystal structure of TbPb2S4, from Alexandria.

Properties
The calculated volume comes out at 25.58 Å³/atom. The calculation puts the density of states at the Fermi level at 17.2 states/eV per cell. The magnetization is 0.00 μB per formula unit. The raw formation energy is -0.9101 eV/atom.

```
data_TbPb2S4
_chemical_formula_sum 'Tb4 Pb8 S16'
_cell_length_a 3.9083
_cell_length_b 13.7087
_cell_length_c 13.3702
_cell_angle_alpha 90.00
_cell_angle_beta 90.00
_cell_angle_gamma 90.00
_symmetry_space_group_name_H-M 'C m c m'
_symmetry_Int_Tables_number 63
_symmetry_space_group_name_Hall '-C 2c 2'
loop_
_atom_site_label
_atom_site_type_symbol
_atom_site_fract_x
_atom_site_fract_y
_atom_site_fract_z
_atom_site_occupancy
Tb1 Tb 0.0000 0.1155 0.2500 1
Pb1 Pb 0.0000 0.3684 0.0685 1
S1 S 0.0000 0.0000 0.0000 1
S2 S 0.0000 0.2892 0.6310 1
S3 S 0.0000 0.4748 0.2500 1
```

=====

[10]
The following is a PBE calculation of an optimized crystal structure of KBPt, from Alexandria.

Properties
The calculated volume comes out at 20.34 Å³/atom. The calculation puts the density of states at the Fermi level at 1.7 states/eV per cell. The magnetization is 0.00 μB per formula unit. For the offset from the most stable computed form, the calculation gives 0.03 eV per formula unit. The formation energy is -11.0 kJ per mole of atoms.

```
data_KBPt
_chemical_formula_sum 'K1 B1 Pt1'
_cell_length_a 3.5890
_cell_length_b 3.5890
_cell_length_c 5.4689
_cell_angle_alpha 90.00
_cell_angle_beta 90.00
_cell_angle_gamma 120.00
_symmetry_space_group_name_H-M 'P -6 m 2'
_symmetry_Int_Tables_number 187
_symmetry_space_group_name_Hall 'P -6 2'
loop_
_atom_site_label
_atom_site_type_symbol
_atom_site_fract_x
_atom_site_fract_y
_atom_site_fract_z
_atom_site_occupancy
K1 K 0.0000 0.0000 0.0000 1
B1 B 0.3333 0.6667 0.5000 1
Pt1 Pt 0.6667 0.3333 0.5000 1
```

=====

magnetization of number 4 (Ac4Hg2RuSe)?
0.00 μB per formula unit

=====

Among the records above, which one has the highest calculated volume?
Rb2UPbSe6

=====

Copy entry 4 word for word.
The following is a PBE calculation of an optimized crystal structure of Ac4Hg2RuSe, from Alexandria.

Properties
The calculated volume comes out at 34.60 Å³/atom. The calculation puts the density of states at the Fermi level at 6.9 states/eV per cell. The magnetization is 0.00 μB per formula unit. The raw formation energy is -0.6946 eV/atom.

```
data_Ac4Hg2RuSe
_chemical_formula_sum 'Ac4 Hg2 Ru1 Se1'
_cell_length_a 7.9961
_cell_length_b 4.3531
_cell_length_c 8.2787
_cell_angle_alpha 90.00
_cell_angle_beta 106.14
_cell_angle_gamma 90.00
_symmetry_space_group_name_H-M 'P 1 2/m 1'
_symmetry_Int_Tables_number 10
_symmetry_space_group_name_Hall '-P 2y'
loop_
_atom_site_label
_atom_site_type_symbol
_atom_site_fract_x
_atom_site_fract_y
_atom_site_fract_z
_atom_site_occupancy
Ac1 Ac 0.2156 0.0000 0.2075 1
Ac2 Ac 0.2324 0.5000 0.7854 1
Hg1 Hg 0.0000 0.0000 0.5000 1
Hg2 Hg 0.5000 0.5000 0.5000 1
Ru1 Ru 0.0000 0.5000 0.0000 1
Se1 Se 0.5000 0.0000 0.0000 1
```